First-principles (SCAN) data for Hg3S2BrCl at its PBEsol-relaxed geometry, as listed in the Alexandria database.

E	-1015.7	eV/cell
formation energy without anion corrections	-0.391	eV per atom
space group	C2/m (12)

Unit cell a=9.2412 b=9.2509 c=9.7857 alpha=118.21 beta=90.72 gamma=90.00
Last column: nearest neighbours and their distance in Å.
Atoms (fractional coordinates):
1 Hg 0.7058 0.7701 0.5403  2 S 2.41
2 Hg 0.0000 0.0000 0.5000  2 S 2.42
3 Hg 0.6953 0.3489 0.2446  2 S 2.42
4 S 0.7391 0.5037 0.5220  3 Hg 2.41-2.42
5 Cl 0.5060 0.1191 0.2381  3 Hg 2.73-2.75
6 Hg 0.0000 0.7646 0.0000  2 S 2.41
7 Hg 0.3047 0.1043 0.7554  2 S 2.42
8 Br 0.0211 0.8737 0.7473  7 Hg 3.09-3.40
9 Cl 0.5264 0.6224 0.2448  4 Hg 2.81-3.02
10 Hg 0.2774 0.5270 0.0541  2 S 2.41
11 Cl 0.4940 0.8809 0.7619  3 Hg 2.73-2.75
12 Hg 0.6953 0.8957 0.2446  2 S 2.42
13 Hg 0.3047 0.6511 0.7554  2 S 2.42
14 Br 0.0110 0.3748 0.7496  5 Hg 3.16-3.27
15 Br 0.9890 0.6252 0.2504  5 Hg 3.16-3.27
16 S 0.7391 0.0183 0.5220  3 Hg 2.41-2.42
17 Hg 0.0000 0.2354 0.0000  2 S 2.41
18 S 0.2609 0.9817 0.4780  3 Hg 2.41-2.42
19 Hg 0.7226 0.4730 0.9459  2 S 2.41
20 S 0.2599 0.7745 0.0312  3 Hg 2.41-2.42
21 Hg 0.2942 0.2299 0.4597  2 S 2.41
22 Hg 0.0000 0.5000 0.5000  2 S 2.42
23 S 0.7401 0.7433 0.9688  3 Hg 2.41-2.42
24 S 0.2609 0.4963 0.4780  3 Hg 2.41-2.42
25 Cl 0.4736 0.3776 0.7552  4 Hg 2.81-3.02
26 Br 0.9789 0.1263 0.2527  7 Hg 3.09-3.40
27 S 0.7401 0.2255 0.9688  3 Hg 2.41-2.42
28 S 0.2599 0.2567 0.0312  3 Hg 2.41-2.42